# 1
Material: UMnPb
Method: DFT, PBE
State: optimized geometry

Lattice parameters (Å, degrees): 4.9670 4.8925 11.2031 90.00 100.45 90.00
Last column: nearest neighbours and their distance in Å.
Element x y z (fractional)
U (0.2138, 0.0000, 0.3801)  3 Mn 2.23-2.48
U (0.2862, 0.5000, 0.6199)  3 Mn 2.23-2.48
U (0.7138, 0.5000, 0.3801)  3 Mn 2.23-2.48
U (0.7862, 0.0000, 0.6199)  3 Mn 2.23-2.48
Mn (0.1497, 0.5000, 0.3558)  3 U 2.23-2.48
Mn (0.3503, 0.0000, 0.6442)  3 U 2.23-2.48
Mn (0.6497, 0.0000, 0.3558)  3 U 2.23-2.48
Mn (0.8503, 0.5000, 0.6442)  3 U 2.23-2.48
Pb (0.2489, 0.5000, 0.1168)  1 Mn 2.81
Pb (0.2511, 0.0000, 0.8832)  1 Mn 2.81
Pb (0.7489, 0.0000, 0.1168)  1 Mn 2.81
Pb (0.7511, 0.5000, 0.8832)  1 Mn 2.81

Results
The total magnetization is 0.00 μB per formula unit. For the formation energy, the calculation gives 0.185 eV per atom. The value obtained for the mass density is 12.4 Mg/m³.



# 2
Material: NbVRh4
Method: DFT, PBE
State: optimized geometry

Lattice parameters (Å, degrees): 4.4984 8.3461 4.8318 90.00 90.00 90.00
Last column: nearest neighbours and their distance in Å.
Element x y z (fractional)
Nb (0.0000, 0.0000, 0.0000)  6 Rh 2.56-2.69
Nb (0.5000, 0.0000, 0.5000)  6 Rh 2.56-2.69
V (0.0000, 0.5000, 0.5000)  8 Rh 2.45-2.74
V (0.5000, 0.5000, 0.0000)  8 Rh 2.45-2.74
Rh (0.0000, 0.1735, 0.4373)  3 Nb 2.56-2.69, 4 Rh 2.73-2.84, 1 V 2.74
Rh (0.0000, 0.3422, 0.9280)  3 V 2.45-2.63, 3 Rh 2.72-2.73
Rh (0.0000, 0.6578, 0.0720)  3 V 2.45-2.63, 3 Rh 2.72-2.73
Rh (0.0000, 0.8265, 0.5627)  3 Nb 2.56-2.69, 4 Rh 2.73-2.84, 1 V 2.74
Rh (0.5000, 0.1735, 0.0627)  3 Nb 2.56-2.69, 4 Rh 2.73-2.84, 1 V 2.74
Rh (0.5000, 0.3422, 0.5720)  3 V 2.45-2.63, 3 Rh 2.72-2.73
Rh (0.5000, 0.6578, 0.4280)  3 V 2.45-2.63, 3 Rh 2.72-2.73
Rh (0.5000, 0.8265, 0.9373)  3 Nb 2.56-2.69, 4 Rh 2.73-2.84, 1 V 2.74

Results
The total magnetization is 0.00 μB per formula unit. The energy above the lowest structure with this stoichiometry is 0 meV per atom. For the formation energy, the calculation gives -0.249 eV per atom. The value obtained for the mass density is 10.2 Mg/m³.



# 3
Material: Gd3TmF
Method: DFT, PBE
State: optimized geometry

Lattice parameters (Å, degrees): 5.0743 5.0743 5.0743 90.00 90.00 90.00
Last column: nearest neighbours and their distance in Å.
Element x y z (fractional)
Gd (0.0000, 0.0000, 0.5000)  2 F 2.54
Gd (0.0000, 0.5000, 0.0000)  2 F 2.54
Gd (0.5000, 0.0000, 0.0000)  2 F 2.54
Tm (0.5000, 0.5000, 0.5000)  12 Gd 3.59
F (0.0000, 0.0000, 0.0000)  6 Gd 2.54

Results
The total magnetization is 21.53 μB per formula unit. The value obtained for the mass density is 8.4 Mg/m³. The total energy comes out at -10.64 eV per atom.



# 4
Material: Pr3DyAs4
Method: DFT, PBE
State: optimized geometry

Lattice parameters (Å, degrees): 8.5227 12.0512 4.2660 90.00 90.00 90.00
Last column: nearest neighbours and their distance in Å.
Element x y z (fractional)
Pr (0.0000, 0.0000, 0.0000)  6 As 3.06
Pr (0.2500, 0.2500, 0.5000)  6 As 3.01-3.02
Pr (0.2500, 0.7500, 0.5000)  6 As 3.01-3.02
Pr (0.5000, 0.5000, 0.0000)  6 As 3.06
Pr (0.7500, 0.2500, 0.5000)  6 As 3.01-3.02
Pr (0.7500, 0.7500, 0.5000)  6 As 3.01-3.02
Dy (0.0000, 0.5000, 0.0000)  6 As 2.97
Dy (0.5000, 0.0000, 0.0000)  6 As 2.97
As (0.0000, 0.2539, 0.0000)  1 Dy 2.97, 5 Pr 3.02-3.06
As (0.0000, 0.7461, 0.0000)  1 Dy 2.97, 5 Pr 3.02-3.06
As (0.2425, 0.5000, 0.5000)  2 Dy 2.97, 4 Pr 3.01-3.06
As (0.2575, 0.0000, 0.5000)  2 Dy 2.97, 4 Pr 3.01-3.06
As (0.5000, 0.2461, 0.0000)  1 Dy 2.97, 5 Pr 3.02-3.06
As (0.5000, 0.7539, 0.0000)  1 Dy 2.97, 5 Pr 3.02-3.06
As (0.7425, 0.0000, 0.5000)  2 Dy 2.97, 4 Pr 3.01-3.06
As (0.7575, 0.5000, 0.5000)  2 Dy 2.97, 4 Pr 3.01-3.06

Results
The total magnetization is 0.00 μB per formula unit. The energy above the lowest structure with this stoichiometry is 0 meV per atom. For the formation energy, the calculation gives -1.500 eV per atom. The value obtained for the mass density is 6.7 Mg/m³.



# 5
Material: FeP2
Method: DFT, PBE
State: optimized geometry

Lattice parameters (Å, degrees): 4.0591 4.0591 5.1319 90.00 90.00 120.00
Last column: nearest neighbours and their distance in Å.
Element x y z (fractional)
Fe (0.3333, 0.6667, 0.2500)  5 P 2.34-2.57
Fe (0.6667, 0.3333, 0.7500)  5 P 2.34-2.57
P (0.0000, 0.0000, 0.0000)  8 P 2.57-2.67, 6 Fe 2.67
P (0.0000, 0.0000, 0.5000)  8 P 2.57-2.67, 6 Fe 2.67
P (0.3333, 0.6667, 0.7500)  5 Fe 2.34-2.57
P (0.6667, 0.3333, 0.2500)  5 Fe 2.34-2.57

Results
The total magnetization is 0.00 μB per formula unit. For the formation energy, the calculation gives 0.390 eV per atom. The value obtained for the mass density is 5.3 Mg/m³.



# 6
Material: NdDy2S
Method: DFT, PBE
State: optimized geometry

Lattice parameters (Å, degrees): 3.6683 3.6683 30.5654 90.00 90.00 120.00
Last column: nearest neighbours and their distance in Å.
Element x y z (fractional)
Nd (0.0000, 0.0000, 0.0000)  2 Dy 3.45, 6 Nd 3.67
Nd (0.3333, 0.6667, 0.6667)  2 Dy 3.45, 6 Nd 3.67
Nd (0.6667, 0.3333, 0.3333)  2 Dy 3.45, 6 Nd 3.67
Dy (0.0000, 0.0000, 0.1130)  3 S 2.68
Dy (0.0000, 0.0000, 0.8870)  3 S 2.68
Dy (0.3333, 0.6667, 0.5537)  3 S 2.68
Dy (0.3333, 0.6667, 0.7797)  3 S 2.68
Dy (0.6667, 0.3333, 0.2203)  3 S 2.68
Dy (0.6667, 0.3333, 0.4463)  3 S 2.68
S (0.0000, 0.0000, 0.5000)  6 Dy 2.68
S (0.3333, 0.6667, 0.1667)  6 Dy 2.68
S (0.6667, 0.3333, 0.8333)  6 Dy 2.68

Results
The total magnetization is 0.00 μB per formula unit. The energy above the lowest structure with this stoichiometry is 185 meV per atom. The value obtained for the mass density is 7.0 Mg/m³.